DFT (PBE) results for a relaxed PrScPb crystal.

a = 4.5678 Å, b = 4.5678 Å, c = 8.4391 Å
α = 90.00°, β = 90.00°, γ = 90.00°
Closest atoms and distances in Å follow each position.
Space group P4/nmm (No. 129, origin choice 2)
Inequivalent atoms, fractional coordinates:
Pr  0.2500  0.2500  0.1523 (multiplicity 2)  5 Pb 3.34-3.40, 4 Sc 3.72
Sc  0.2500  0.7500  0.5000 (multiplicity 2)  4 Pb 3.10, 4 Sc 3.23
Pb  0.2500  0.2500  0.7492 (multiplicity 2)  4 Sc 3.10, 5 Pr 3.34-3.40

Properties
crystal system = tetragonal

---

DFT (PBE) results for a relaxed ZrTaNb crystal.

a = 6.4623 Å, b = 6.4623 Å, c = 6.4623 Å
α = 90.00°, β = 90.00°, γ = 90.00°
Closest atoms and distances in Å follow each position.
Space group F-43m (No. 216)
Inequivalent atoms, fractional coordinates:
Zr  0.0000  0.0000  0.0000 (multiplicity 4)  4 Nb 2.80
Ta  0.0000  0.0000  0.5000 (multiplicity 4)  4 Nb 2.80
Nb  0.2500  0.2500  0.7500 (multiplicity 4)  4 Zr 2.80, 4 Ta 2.80

Properties
crystal system = cubic
formation energy = 0.7556 eV/atom

---

We obtain distance to the lowest polymorph of the same formula values of 0 0 meV per atom for the records listed above, in that order.
We obtain uncorrected energy values of -32.41 -112.91 eV/cell for the records listed above, in that order.